A relaxed Ti5Fe4Sb4 crystal. Source: Alexandria via LeMat-Bulk, functional PBE.

Output
Crystal system: trigonal
Calculated volume (Å³ per cell): 217.4
Energy above the most stable polymorph in this dataset (eV/f.u.): 0.00

a b c (Å): 13.9755 13.9755 13.9755
angles (deg): 17.58 17.58 17.58
Fractional coordinates of all 13 atoms:
Ti: 0.0000 0.0000 0.0000
Ti: 0.0678 0.0678 0.0678
Ti: 0.2553 0.2553 0.2553
Ti: 0.5088 0.5088 0.5088
Ti: 0.7604 0.7604 0.7604
Fe: 0.1941 0.1941 0.1941
Fe: 0.4394 0.4394 0.4394
Fe: 0.6936 0.6936 0.6936
Fe: 0.9436 0.9436 0.9436
Sb: 0.1344 0.1344 0.1344
Sb: 0.3730 0.3730 0.3730
Sb: 0.6281 0.6281 0.6281
Sb: 0.8814 0.8814 0.8814



A relaxed BaAlV3 crystal. Source: Alexandria via LeMat-Bulk, functional PBE.

Output
Crystal system: cubic
Calculated volume (Å³ per cell): 130.9
E_form (kJ per mole of atoms): 105
Energy above the most stable polymorph in this dataset (eV/f.u.): 0.00

a b c (Å): 5.0776 5.0776 5.0776
angles (deg): 90.00 90.00 90.00
Fractional coordinates of all 5 atoms:
Ba: 0.0000 0.0000 0.0000
Al: 0.5000 0.5000 0.5000
V: 0.0000 0.5000 0.5000
V: 0.5000 0.0000 0.5000
V: 0.5000 0.5000 0.0000



A relaxed Ac6La8Sm crystal. Source: Alexandria via LeMat-Bulk, functional PBE.

Output
Crystal system: trigonal
Calculated volume (Å³ per cell): 600.2
E_form (kJ per mole of atoms): 9

a b c (Å): 9.2806 9.2806 9.2806
angles (deg): 62.78 62.78 62.78
Fractional coordinates of all 15 atoms:
Ac: 0.0430 0.7444 0.5896
Ac: 0.2556 0.4104 0.9570
Ac: 0.4104 0.9570 0.2556
Ac: 0.5896 0.0430 0.7444
Ac: 0.7444 0.5896 0.0430
Ac: 0.9570 0.2556 0.4104
La: 0.0734 0.0734 0.0734
La: 0.2040 0.2628 0.6121
La: 0.2628 0.6121 0.2040
La: 0.3879 0.7960 0.7372
La: 0.6121 0.2040 0.2628
La: 0.7372 0.3879 0.7960
La: 0.7960 0.7372 0.3879
La: 0.9266 0.9266 0.9266
Sm: 0.5000 0.5000 0.5000